Entry from the Alexandria database: an optimized crystal structure of CsPuCl4 (PBE).

Unit cell a=8.814 b=8.814 c=6.911 alpha=106.34 beta=106.34 gamma=111.76
Atoms (fractional coordinates):
Cs: 0.142 0.858 0.750
Cs: 0.858 0.142 0.250
Pu: 0.484 0.516 0.250
Pu: 0.516 0.484 0.750
Cl: 0.196 0.303 0.816
Cl: 0.260 0.554 0.447
Cl: 0.303 0.196 0.316
Cl: 0.446 0.740 0.053
Cl: 0.554 0.260 0.947
Cl: 0.697 0.804 0.684
Cl: 0.740 0.446 0.553
Cl: 0.804 0.697 0.184

Calculated values
The space-group type is C2/c. Its uncorrected formation energy is -1.916 eV per atom. The value obtained for the size of the total moment is 10.00 μB/cell. The value obtained for the raw total energy is -68.14 eV/cell.


Entry from the Alexandria database: an optimized crystal structure of Cs5Pu2Cl12 (PBE).

Unit cell a=9.741 b=9.741 c=8.498 alpha=99.41 beta=99.41 gamma=62.30
Atoms (fractional coordinates):
Cs: 0.000 0.000 0.000
Cs: 0.249 0.249 0.509
Cs: 0.365 0.365 0.989
Cs: 0.635 0.635 0.011
Cs: 0.751 0.751 0.491
Pu: 0.249 0.751 0.500
Pu: 0.751 0.249 0.500
Cl: 0.067 0.067 0.649
Cl: 0.108 0.689 0.713
Cl: 0.146 0.563 0.296
Cl: 0.311 0.892 0.287
Cl: 0.437 0.854 0.704
Cl: 0.473 0.473 0.666
Cl: 0.527 0.527 0.334
Cl: 0.563 0.146 0.296
Cl: 0.689 0.108 0.713
Cl: 0.854 0.437 0.704
Cl: 0.892 0.311 0.287
Cl: 0.933 0.933 0.351

Calculated values
The space-group type is C2/m. Its uncorrected formation energy is -1.881 eV per atom. The value obtained for the size of the total moment is 9.00 μB/cell. The value obtained for the raw total energy is -90.82 eV/cell.


Entry from the Alexandria database: an optimized crystal structure of CsPu3Cl10 (PBE).

Unit cell a=10.245 b=10.245 c=10.245 alpha=60.00 beta=60.00 gamma=60.00
Atoms (fractional coordinates):
Cs: 0.250 0.250 0.250
Cs: 0.750 0.750 0.750
Pu: 0.239 0.239 0.761
Pu: 0.239 0.761 0.239
Pu: 0.239 0.761 0.761
Pu: 0.761 0.239 0.239
Pu: 0.761 0.239 0.761
Pu: 0.761 0.761 0.239
Cl: 0.114 0.114 0.114
Cl: 0.114 0.114 0.659
Cl: 0.114 0.659 0.114
Cl: 0.165 0.500 0.500
Cl: 0.165 0.500 0.835
Cl: 0.165 0.835 0.500
Cl: 0.341 0.886 0.886
Cl: 0.500 0.165 0.500
Cl: 0.500 0.165 0.835
Cl: 0.500 0.500 0.165
Cl: 0.500 0.500 0.835
Cl: 0.500 0.835 0.165
Cl: 0.500 0.835 0.500
Cl: 0.659 0.114 0.114
Cl: 0.835 0.165 0.500
Cl: 0.835 0.500 0.165
Cl: 0.835 0.500 0.500
Cl: 0.886 0.341 0.886
Cl: 0.886 0.886 0.341
Cl: 0.886 0.886 0.886

Calculated values
The space-group type is Fm-3m. Its uncorrected formation energy is -1.902 eV per atom. The value obtained for the size of the total moment is 30.00 μB/cell. The value obtained for the raw total energy is -177.88 eV/cell.


Entry from the Alexandria database: an optimized crystal structure of Cs3Pu4Cl12 (PBE).

Unit cell a=9.671 b=9.671 c=9.671 alpha=109.47 beta=109.47 gamma=109.47
Atoms (fractional coordinates):
Cs: 0.000 0.500 0.500
Cs: 0.500 0.000 0.500
Cs: 0.500 0.500 0.000
Pu: 0.000 0.000 0.500
Pu: 0.000 0.500 0.000
Pu: 0.500 0.000 0.000
Pu: 0.500 0.500 0.500
Cl: 0.034 0.274 0.759
Cl: 0.241 0.515 0.274
Cl: 0.241 0.966 0.726
Cl: 0.274 0.241 0.515
Cl: 0.274 0.759 0.034
Cl: 0.485 0.726 0.759
Cl: 0.515 0.274 0.241
Cl: 0.726 0.241 0.966
Cl: 0.726 0.759 0.485
Cl: 0.759 0.034 0.274
Cl: 0.759 0.485 0.726
Cl: 0.966 0.726 0.241

Calculated values
The space-group type is Im-3. Its uncorrected formation energy is -1.914 eV per atom. The value obtained for the size of the total moment is 23.00 μB/cell. The value obtained for the raw total energy is -118.42 eV/cell.


Entry from the Alexandria database: an optimized crystal structure of CsPu2Cl11 (PBE).

Unit cell a=11.431 b=11.431 c=11.431 alpha=113.87 beta=111.77 gamma=102.97
Atoms (fractional coordinates):
Cs: 0.250 0.250 0.000
Cs: 0.750 0.750 0.000
Pu: 0.170 0.625 0.795
Pu: 0.330 0.125 0.456
Pu: 0.670 0.875 0.544
Pu: 0.830 0.375 0.205
Cl: 0.000 0.500 0.500
Cl: 0.036 0.385 0.170
Cl: 0.124 0.384 0.756
Cl: 0.128 0.884 0.259
Cl: 0.170 0.237 0.407
Cl: 0.215 0.865 0.830
Cl: 0.285 0.115 0.650
Cl: 0.330 0.737 0.067
Cl: 0.372 0.631 0.756
Cl: 0.376 0.131 0.259
Cl: 0.464 0.635 0.350
Cl: 0.500 0.000 0.500
Cl: 0.536 0.365 0.650
Cl: 0.624 0.869 0.741
Cl: 0.628 0.369 0.244
Cl: 0.670 0.263 0.933
Cl: 0.715 0.885 0.350
Cl: 0.785 0.135 0.170
Cl: 0.830 0.763 0.593
Cl: 0.872 0.116 0.741
Cl: 0.876 0.616 0.244
Cl: 0.964 0.615 0.830

Calculated values
The space-group type is Ibam. Its uncorrected formation energy is -1.485 eV per atom. The value obtained for the size of the total moment is 12.00 μB/cell. The value obtained for the raw total energy is -141.24 eV/cell.


Entry from the Alexandria database: an optimized crystal structure of Cs2PuCl5 (PBE).

Unit cell a=7.589 b=7.589 c=7.589 alpha=114.38 beta=114.38 gamma=100.04
Atoms (fractional coordinates):
Cs: 0.000 0.500 0.500
Cs: 0.500 0.000 0.500
Pu: 0.273 0.273 0.000
Cl: 0.008 0.008 0.544
Cl: 0.008 0.464 0.000
Cl: 0.464 0.008 0.000
Cl: 0.464 0.464 0.456
Cl: 0.534 0.534 0.000

Calculated values
The space-group type is I4mm. Its uncorrected formation energy is -1.930 eV per atom. The value obtained for the size of the total moment is 5.00 μB/cell. The value obtained for the raw total energy is -40.71 eV/cell.


Entry from the Alexandria database: an optimized crystal structure of CsPu2Cl8 (PBE).

Unit cell a=6.577 b=6.577 c=8.520 alpha=90.00 beta=90.00 gamma=90.00
Atoms (fractional coordinates):
Cs: 0.000 0.000 0.000
Pu: 0.000 0.500 0.500
Pu: 0.500 0.000 0.500
Cl: 0.251 0.251 0.314
Cl: 0.251 0.251 0.686
Cl: 0.251 0.749 0.314
Cl: 0.251 0.749 0.686
Cl: 0.749 0.251 0.314
Cl: 0.749 0.251 0.686
Cl: 0.749 0.749 0.314
Cl: 0.749 0.749 0.686

Calculated values
The space-group type is P4/mmm. Its uncorrected formation energy is -1.797 eV per atom. The value obtained for the size of the total moment is 9.00 μB/cell. The value obtained for the raw total energy is -64.06 eV/cell.


Entry from the Alexandria database: an optimized crystal structure of CsPuCl3 (PBE).

Unit cell a=5.605 b=5.605 c=5.605 alpha=90.00 beta=90.00 gamma=90.00
Atoms (fractional coordinates):
Cs: 0.000 0.000 0.000
Pu: 0.500 0.500 0.500
Cl: 0.000 0.500 0.500
Cl: 0.500 0.000 0.500
Cl: 0.500 0.500 0.000

Calculated values
The space-group type is Pm-3m. Its uncorrected formation energy is -1.851 eV per atom. The value obtained for the size of the total moment is 6.00 μB/cell. The value obtained for the raw total energy is -29.98 eV/cell.